[1]
Compound: Na10W13O39
Source: Alexandria via LeMat-Bulk
Functional: GGA-PBEsol
Structure: optimized geometry

Computed properties:
As for the total magnetic moment: 0.00 μB per formula unit. The total energy is -8.587 eV/atom. As for the formation energy without anion corrections: -2.16 eV per atom.

a b c (Å): 6.692 8.639 13.929
angles (deg): 75.64 80.78 75.02
Positions (direct):
1 Na 0.039 0.231 0.153
2 Na 0.121 0.690 0.461
3 Na 0.196 0.156 0.771
4 Na 0.273 0.617 0.078
5 Na 0.348 0.080 0.384
6 Na 0.652 0.920 0.616
7 Na 0.727 0.383 0.922
8 Na 0.804 0.844 0.229
9 Na 0.879 0.310 0.539
10 Na 0.961 0.769 0.847
11 W 0.000 0.000 0.000
12 W 0.078 0.462 0.308
13 W 0.155 0.921 0.616
14 W 0.232 0.384 0.922
15 W 0.310 0.845 0.230
16 W 0.385 0.310 0.538
17 W 0.462 0.769 0.847
18 W 0.538 0.231 0.153
19 W 0.615 0.690 0.462
20 W 0.690 0.155 0.770
21 W 0.768 0.616 0.078
22 W 0.845 0.079 0.384
23 W 0.922 0.538 0.692
24 O 0.000 0.000 0.500
25 O 0.000 0.500 0.000
26 O 0.035 0.732 0.654
27 O 0.073 0.460 0.809
28 O 0.077 0.962 0.308
29 O 0.112 0.194 0.961
30 O 0.151 0.422 0.615
31 O 0.151 0.922 0.117
32 O 0.190 0.656 0.269
33 O 0.228 0.384 0.424
34 O 0.228 0.883 0.923
35 O 0.269 0.115 0.577
36 O 0.305 0.345 0.230
37 O 0.307 0.849 0.731
38 O 0.345 0.577 0.886
39 O 0.384 0.311 0.039
40 O 0.384 0.810 0.537
41 O 0.423 0.039 0.194
42 O 0.461 0.269 0.846
43 O 0.461 0.772 0.346
44 O 0.500 0.500 0.500
45 O 0.539 0.228 0.654
46 O 0.539 0.731 0.154
47 O 0.577 0.961 0.806
48 O 0.616 0.190 0.463
49 O 0.616 0.689 0.961
50 O 0.655 0.423 0.114
51 O 0.693 0.151 0.269
52 O 0.695 0.655 0.770
53 O 0.731 0.885 0.423
54 O 0.772 0.117 0.077
55 O 0.772 0.616 0.576
56 O 0.810 0.344 0.731
57 O 0.849 0.078 0.883
58 O 0.849 0.578 0.385
59 O 0.888 0.806 0.039
60 O 0.923 0.038 0.692
61 O 0.927 0.540 0.191
62 O 0.965 0.268 0.346

=====

[2]
Compound: NaW8O24
Source: Alexandria via LeMat-Bulk
Functional: GGA-PBEsol
Structure: optimized geometry

Computed properties:
As for the total magnetic moment: 0.00 μB per formula unit. The total energy is -9.355 eV/atom. As for the formation energy without anion corrections: -2.15 eV per atom.

a b c (Å): 9.428 9.428 9.428
angles (deg): 132.62 132.62 69.25
Positions (direct):
1 Na 0.000 0.000 0.000
2 W 0.107 0.617 0.999
3 W 0.144 0.143 0.514
4 W 0.370 0.856 0.999
5 W 0.383 0.382 0.490
6 W 0.618 0.108 0.001
7 W 0.629 0.630 0.486
8 W 0.857 0.371 0.001
9 W 0.892 0.893 0.510
10 O 0.005 0.004 0.503
11 O 0.107 0.878 0.233
12 O 0.122 0.355 0.230
13 O 0.125 0.893 0.770
14 O 0.142 0.378 0.769
15 O 0.244 0.751 0.000
16 O 0.249 0.249 0.494
17 O 0.358 0.622 0.732
18 O 0.373 0.642 0.264
19 O 0.378 0.109 0.736
20 O 0.390 0.123 0.263
21 O 0.498 0.995 0.999
22 O 0.501 0.502 0.497
23 O 0.609 0.374 0.231
24 O 0.622 0.391 0.765
25 O 0.626 0.858 0.235
26 O 0.645 0.875 0.767
27 O 0.751 0.244 0.000
28 O 0.756 0.756 0.506
29 O 0.860 0.126 0.737
30 O 0.874 0.610 0.734
31 O 0.877 0.140 0.266
32 O 0.891 0.627 0.268
33 O 0.996 0.499 0.001

=====

[3]
Compound: Na3W4O12
Source: Alexandria via LeMat-Bulk
Functional: GGA-PBEsol
Structure: optimized geometry

Computed properties:
As for the total magnetic moment: 0.00 μB per formula unit. The total energy is -8.610 eV/atom. As for the formation energy without anion corrections: -2.17 eV per atom.

a b c (Å): 6.690 6.690 6.690
angles (deg): 109.47 109.47 109.47
Positions (direct):
1 Na 0.000 0.500 0.500
2 Na 0.500 0.000 0.500
3 Na 0.500 0.500 0.000
4 W 0.000 0.000 0.500
5 W 0.000 0.500 0.000
6 W 0.500 0.000 0.000
7 W 0.500 0.500 0.500
8 O 0.000 0.252 0.748
9 O 0.000 0.748 0.252
10 O 0.252 0.000 0.748
11 O 0.252 0.252 0.505
12 O 0.252 0.505 0.252
13 O 0.252 0.748 0.000
14 O 0.495 0.748 0.748
15 O 0.505 0.252 0.252
16 O 0.748 0.000 0.252
17 O 0.748 0.252 0.000
18 O 0.748 0.495 0.748
19 O 0.748 0.748 0.495

=====

[4]
Compound: NaWO3
Source: Alexandria via LeMat-Bulk
Functional: GGA-PBEsol
Structure: optimized geometry

Computed properties:
As for the total magnetic moment: 0.00 μB per formula unit. The total energy is -8.328 eV/atom. As for the formation energy without anion corrections: -2.14 eV per atom.

a b c (Å): 3.882 3.882 3.882
angles (deg): 90.00 90.00 90.00
Positions (direct):
1 Na 0.000 0.000 0.000
2 W 0.500 0.500 0.500
3 O 0.000 0.500 0.500
4 O 0.500 0.000 0.500
5 O 0.500 0.500 0.000

=====

[5]
Compound: NaWO3
Source: Alexandria via LeMat-Bulk
Functional: GGA-PBEsol
Structure: optimized geometry

Computed properties:
As for the total magnetic moment: 0.94 μB per formula unit. The total energy is -5.425 eV/atom. As for the formation energy without anion corrections: 0.77 eV per atom.

a b c (Å): 3.745 3.745 3.745
angles (deg): 90.00 90.00 90.00
Positions (direct):
1 Na 0.000 0.000 0.000
2 W 0.500 0.500 0.500
3 O 0.000 0.000 0.500
4 O 0.000 0.500 0.000
5 O 0.500 0.000 0.000

=====

[6]
Compound: NaW10O30
Source: Alexandria via LeMat-Bulk
Functional: GGA-PBEsol
Structure: optimized geometry

Computed properties:
As for the total magnetic moment: 0.00 μB per formula unit. The total energy is -9.386 eV/atom. As for the formation energy without anion corrections: -2.14 eV per atom.

a b c (Å): 6.606 6.606 13.878
angles (deg): 100.46 100.46 69.85
Positions (direct):
1 Na 0.000 0.000 0.000
2 W 0.107 0.614 0.390
3 W 0.201 0.678 0.807
4 W 0.322 0.799 0.193
5 W 0.386 0.893 0.610
6 W 0.498 0.020 0.991
7 W 0.587 0.094 0.411
8 W 0.718 0.200 0.788
9 W 0.800 0.282 0.212
10 W 0.906 0.413 0.589
11 W 0.980 0.502 0.009
12 O 0.003 0.502 0.498
13 O 0.063 0.057 0.209
14 O 0.073 0.529 0.700
15 O 0.091 0.607 0.902
16 O 0.125 0.677 0.098
17 O 0.138 0.139 0.594
18 O 0.205 0.697 0.296
19 O 0.263 0.269 0.007
20 O 0.268 0.732 0.500
21 O 0.303 0.795 0.704
22 O 0.323 0.875 0.902
23 O 0.338 0.338 0.393
24 O 0.393 0.909 0.098
25 O 0.465 0.458 0.812
26 O 0.471 0.927 0.300
27 O 0.498 0.997 0.502
28 O 0.533 0.070 0.700
29 O 0.542 0.535 0.188
30 O 0.611 0.094 0.898
31 O 0.662 0.662 0.607
32 O 0.677 0.125 0.098
33 O 0.694 0.198 0.301
34 O 0.731 0.737 0.993
35 O 0.732 0.268 0.500
36 O 0.802 0.306 0.699
37 O 0.861 0.862 0.406
38 O 0.875 0.323 0.902
39 O 0.906 0.389 0.102
40 O 0.930 0.467 0.300
41 O 0.943 0.937 0.791

=====

[7]
Compound: Na5W6O18
Source: Alexandria via LeMat-Bulk
Functional: GGA-PBEsol
Structure: optimized geometry

Computed properties:
As for the total magnetic moment: 0.00 μB per formula unit. The total energy is -8.514 eV/atom. As for the formation energy without anion corrections: -2.16 eV per atom.

a b c (Å): 6.699 6.699 16.420
angles (deg): 90.00 90.00 109.49
Positions (direct):
1 Na 0.123 0.877 0.585
2 Na 0.123 0.877 0.915
3 Na 0.373 0.627 0.085
4 Na 0.373 0.627 0.415
5 Na 0.375 0.625 0.750
6 Na 0.625 0.375 0.250
7 Na 0.627 0.373 0.585
8 Na 0.627 0.373 0.915
9 Na 0.877 0.123 0.085
10 Na 0.877 0.123 0.415
11 W 0.124 0.374 0.584
12 W 0.124 0.374 0.916
13 W 0.125 0.375 0.250
14 W 0.374 0.124 0.084
15 W 0.374 0.124 0.416
16 W 0.375 0.125 0.750
17 W 0.625 0.875 0.250
18 W 0.626 0.876 0.584
19 W 0.626 0.876 0.916
20 W 0.875 0.625 0.750
21 W 0.876 0.626 0.084
22 W 0.876 0.626 0.416
23 O 0.000 0.500 0.000
24 O 0.000 0.500 0.500
25 O 0.001 0.503 0.666
26 O 0.001 0.503 0.834
27 O 0.125 0.875 0.082
28 O 0.125 0.875 0.418
29 O 0.127 0.873 0.750
30 O 0.250 0.250 0.000
31 O 0.250 0.250 0.500
32 O 0.251 0.253 0.166
33 O 0.251 0.253 0.334
34 O 0.253 0.251 0.666
35 O 0.253 0.251 0.834
36 O 0.375 0.625 0.584
37 O 0.375 0.625 0.916
38 O 0.377 0.623 0.250
39 O 0.497 0.999 0.666
40 O 0.497 0.999 0.834
41 O 0.500 0.000 0.000
42 O 0.500 0.000 0.500
43 O 0.503 0.001 0.166
44 O 0.503 0.001 0.334
45 O 0.623 0.377 0.750
46 O 0.625 0.375 0.084
47 O 0.625 0.375 0.416
48 O 0.747 0.749 0.166
49 O 0.747 0.749 0.334
50 O 0.749 0.747 0.666
51 O 0.749 0.747 0.834
52 O 0.750 0.750 0.000
53 O 0.750 0.750 0.500
54 O 0.873 0.127 0.250
55 O 0.875 0.125 0.582
56 O 0.875 0.125 0.918
57 O 0.999 0.497 0.166
58 O 0.999 0.497 0.334

=====

[8]
Compound: Na4WO5
Source: Alexandria via LeMat-Bulk
Functional: GGA-PBEsol
Structure: optimized geometry

Computed properties:
As for the total magnetic moment: 0.00 μB per formula unit. The total energy is -6.546 eV/atom. As for the formation energy without anion corrections: -1.98 eV per atom.

a b c (Å): 5.655 5.681 8.451
angles (deg): 101.34 109.22 102.18
Positions (direct):
1 Na 0.000 0.000 0.000
2 Na 0.000 0.500 0.500
3 Na 0.195 0.487 0.904
4 Na 0.198 0.002 0.398
5 Na 0.379 0.492 0.293
6 Na 0.621 0.508 0.707
7 Na 0.802 0.998 0.602
8 Na 0.805 0.513 0.096
9 W 0.398 0.996 0.794
10 W 0.602 0.004 0.206
11 O 0.064 0.779 0.759
12 O 0.240 0.210 0.685
13 O 0.260 0.787 0.156
14 O 0.408 0.779 0.599
15 O 0.423 0.191 0.037
16 O 0.577 0.809 0.963
17 O 0.592 0.221 0.401
18 O 0.740 0.213 0.844
19 O 0.760 0.790 0.315
20 O 0.936 0.221 0.241

=====

Which of these has the highest total magnetic moment?
number 5

=====

What is the total magnetic moment in the eighth record?
0.00 μB per formula unit